Record 1
Here is a relaxed Zr3Sb crystal from the Alexandria database. Energies are from PBEsol.

a b c (Å): 5.3352 5.3352 5.3352
angles (deg): 90.00 90.00 90.00
With the nearest neighbours (Å) after each atom.
Sites, in units of the cell vectors:
Zr 0.0000 0.0000 0.5000  2 Sb 2.67
Zr 0.0000 0.5000 0.0000  2 Sb 2.67
Zr 0.5000 0.0000 0.0000  2 Sb 2.67
Sb 0.0000 0.0000 0.0000  6 Zr 2.67

Values from the calculation:
calculated total energy = -6.46 eV/atom
formation energy (no corrections) = 1.49 eV/atom
density of states at the Fermi level = 9.76 states/eV per cell
theoretical density = 4.3 g cm⁻³

=====

Record 2
Here is a relaxed Zr5Sb3 crystal from the Alexandria database. Energies are from PBEsol.

a b c (Å): 8.3221 8.3221 8.3221
angles (deg): 96.54 96.54 140.55
With the nearest neighbours (Å) after each atom.
Sites, in units of the cell vectors:
Zr 0.0765 0.7789 0.8554  6 Sb 2.94-3.23, 3 Zr 3.17-3.28
Zr 0.2211 0.0765 0.2976  6 Sb 2.94-3.23, 3 Zr 3.17-3.28
Zr 0.2500 0.7500 0.5000  2 Zr 2.81, 4 Sb 2.93
Zr 0.2789 0.5765 0.8554  6 Sb 2.94-3.23, 3 Zr 3.17-3.28
Zr 0.4235 0.2789 0.7024  6 Sb 2.94-3.23, 3 Zr 3.17-3.28
Zr 0.5765 0.7211 0.2976  6 Sb 2.94-3.23, 3 Zr 3.17-3.28
Zr 0.7211 0.4235 0.1446  6 Sb 2.94-3.23, 3 Zr 3.17-3.28
Zr 0.7500 0.2500 0.5000  2 Zr 2.81, 4 Sb 2.93
Zr 0.7789 0.9235 0.7024  6 Sb 2.94-3.23, 3 Zr 3.17-3.28
Zr 0.9235 0.2211 0.1446  6 Sb 2.94-3.23, 3 Zr 3.17-3.28
Sb 0.1642 0.3358 0.5000  10 Zr 2.93-3.23
Sb 0.2500 0.2500 0.0000  2 Sb 2.81, 8 Zr 2.95
Sb 0.3358 0.8358 0.1715  10 Zr 2.93-3.23
Sb 0.6642 0.1642 0.8285  10 Zr 2.93-3.23
Sb 0.7500 0.7500 0.0000  2 Sb 2.81, 8 Zr 2.95
Sb 0.8358 0.6642 0.5000  10 Zr 2.93-3.23

Values from the calculation:
calculated total energy = -8.11 eV/atom
formation energy (no corrections) = -0.72 eV/atom
density of states at the Fermi level = 14.22 states/eV per cell
excess energy over the best structure of this formula in the dataset = 0.0238 eV/atom
theoretical density = 7.9 g cm⁻³

=====

Record 3
Here is a relaxed Zr3Sb crystal from the Alexandria database. Energies are from PBEsol.

a b c (Å): 3.7431 9.4501 4.9076
angles (deg): 90.00 90.00 90.00
With the nearest neighbours (Å) after each atom.
Sites, in units of the cell vectors:
Zr 0.0000 0.0000 0.0000  6 Zr 3.02-3.12, 4 Sb 3.03-3.15
Zr 0.0000 0.2407 0.5939  3 Sb 2.99-3.11, 7 Zr 3.02-3.12
Zr 0.0000 0.7593 0.5939  3 Sb 2.99-3.11, 7 Zr 3.02-3.12
Zr 0.5000 0.2593 0.0939  3 Sb 2.99-3.11, 7 Zr 3.02-3.12
Zr 0.5000 0.5000 0.5000  6 Zr 3.02-3.12, 4 Sb 3.03-3.15
Zr 0.5000 0.7407 0.0939  3 Sb 2.99-3.11, 7 Zr 3.02-3.12
Sb 0.0000 0.5000 0.9846  10 Zr 2.99-3.15
Sb 0.5000 0.0000 0.4846  10 Zr 2.99-3.15

Values from the calculation:
calculated total energy = -8.35 eV/atom
formation energy (no corrections) = -0.39 eV/atom
density of states at the Fermi level = 9.37 states/eV per cell
theoretical density = 7.6 g cm⁻³

=====

Record 4
Here is a relaxed Zr3Sb crystal from the Alexandria database. Energies are from PBEsol.

a b c (Å): 4.2712 4.2712 4.6579
angles (deg): 90.00 90.00 90.00
With the nearest neighbours (Å) after each atom.
Sites, in units of the cell vectors:
Zr 0.0000 0.0000 0.0000  4 Sb 3.02, 8 Zr 3.16
Zr 0.0000 0.5000 0.5000  8 Zr 3.02-3.16, 4 Sb 3.16
Zr 0.5000 0.0000 0.5000  8 Zr 3.02-3.16, 4 Sb 3.16
Sb 0.5000 0.5000 0.0000  12 Zr 3.02-3.16

Values from the calculation:
calculated total energy = -8.42 eV/atom
formation energy (no corrections) = -0.47 eV/atom
density of states at the Fermi level = 4.31 states/eV per cell
theoretical density = 7.7 g cm⁻³

=====

Record 5
Here is a relaxed Zr3Sb crystal from the Alexandria database. Energies are from PBEsol.

a b c (Å): 8.4541 8.4541 8.4541
angles (deg): 96.38 96.38 141.05
With the nearest neighbours (Å) after each atom.
Sites, in units of the cell vectors:
Zr 0.0492 0.0188 0.5979  3 Sb 2.88-3.06, 3 Zr 3.05-3.21
Zr 0.1066 0.2924 0.9744  2 Sb 2.89-3.01, 4 Zr 2.99-3.19
Zr 0.3181 0.1322 0.0256  2 Sb 2.89-3.01, 4 Zr 2.99-3.19
Zr 0.3828 0.0484 0.3820  4 Sb 2.91-2.94, 4 Zr 3.14-3.25
Zr 0.4209 0.4513 0.4021  3 Sb 2.88-3.06, 3 Zr 3.05-3.21
Zr 0.5487 0.9508 0.9696  3 Sb 2.88-3.06, 3 Zr 3.05-3.21
Zr 0.6664 0.0008 0.6180  4 Sb 2.91-2.94, 4 Zr 3.14-3.25
Zr 0.7076 0.6819 0.8141  2 Sb 2.89-3.01, 4 Zr 2.99-3.19
Zr 0.8678 0.8934 0.1859  2 Sb 2.89-3.01, 4 Zr 2.99-3.19
Zr 0.9516 0.3336 0.3344  4 Sb 2.91-2.94, 4 Zr 3.14-3.25
Zr 0.9812 0.5791 0.0304  3 Sb 2.88-3.06, 3 Zr 3.05-3.21
Zr 0.9992 0.6172 0.6656  4 Sb 2.91-2.94, 4 Zr 3.14-3.25
Sb 0.2388 0.4936 0.6771  9 Zr 2.88-3.06
Sb 0.4383 0.7612 0.2548  9 Zr 2.88-3.06
Sb 0.5064 0.1835 0.7452  9 Zr 2.88-3.06
Sb 0.8165 0.5617 0.3229  9 Zr 2.88-3.06

Values from the calculation:
calculated total energy = -8.49 eV/atom
formation energy (no corrections) = -0.54 eV/atom
density of states at the Fermi level = 13.32 states/eV per cell
theoretical density = 7.3 g cm⁻³

=====

Record 6
Here is a relaxed ZrSb2 crystal from the Alexandria database. Energies are from PBEsol.

a b c (Å): 3.8451 10.5106 7.2327
angles (deg): 90.00 90.00 90.00
With the nearest neighbours (Å) after each atom.
Sites, in units of the cell vectors:
Zr 0.0000 0.0980 0.0000  8 Sb 2.87-3.16
Zr 0.0000 0.9020 0.5000  8 Sb 2.87-3.16
Zr 0.5000 0.4020 0.5000  8 Sb 2.87-3.16
Zr 0.5000 0.5980 0.0000  8 Sb 2.87-3.16
Sb 0.0000 0.1927 0.3905  3 Sb 2.99-3.21, 4 Zr 2.99-3.16
Sb 0.0000 0.4410 0.1878  4 Zr 2.87-2.99, 3 Sb 2.99-3.21
Sb 0.0000 0.5590 0.6878  4 Zr 2.87-2.99, 3 Sb 2.99-3.21
Sb 0.0000 0.8073 0.8905  3 Sb 2.99-3.21, 4 Zr 2.99-3.16
Sb 0.5000 0.0590 0.6878  4 Zr 2.87-2.99, 3 Sb 2.99-3.21
Sb 0.5000 0.3073 0.8905  3 Sb 2.99-3.21, 4 Zr 2.99-3.16
Sb 0.5000 0.6927 0.3905  3 Sb 2.99-3.21, 4 Zr 2.99-3.16
Sb 0.5000 0.9410 0.1878  4 Zr 2.87-2.99, 3 Sb 2.99-3.21

Values from the calculation:
calculated total energy = -6.46 eV/atom
formation energy (no corrections) = -0.39 eV/atom
density of states at the Fermi level = 3.67 states/eV per cell
theoretical density = 7.6 g cm⁻³

=====

Record 7
Here is a relaxed Zr3Sb crystal from the Alexandria database. Energies are from PBEsol.

a b c (Å): 6.5934 10.1644 5.0892
angles (deg): 90.00 90.00 90.00
With the nearest neighbours (Å) after each atom.
Sites, in units of the cell vectors:
Zr 0.0000 0.1309 0.2500  8 Zr 2.95-3.12, 2 Sb 3.28
Zr 0.0000 0.8691 0.7500  8 Zr 2.95-3.12, 2 Sb 3.28
Zr 0.2307 0.3993 0.2500  7 Zr 2.95-3.27, 4 Sb 2.97-3.11
Zr 0.2307 0.6007 0.7500  7 Zr 2.95-3.27, 4 Sb 2.97-3.11
Zr 0.2693 0.1007 0.7500  7 Zr 2.95-3.27, 4 Sb 2.97-3.11
Zr 0.2693 0.8993 0.2500  7 Zr 2.95-3.27, 4 Sb 2.97-3.11
Zr 0.5000 0.3691 0.7500  8 Zr 2.95-3.12, 2 Sb 3.28
Zr 0.5000 0.6309 0.2500  8 Zr 2.95-3.12, 2 Sb 3.28
Zr 0.7307 0.1007 0.7500  7 Zr 2.95-3.27, 4 Sb 2.97-3.11
Zr 0.7307 0.8993 0.2500  7 Zr 2.95-3.27, 4 Sb 2.97-3.11
Zr 0.7693 0.3993 0.2500  7 Zr 2.95-3.27, 4 Sb 2.97-3.11
Zr 0.7693 0.6007 0.7500  7 Zr 2.95-3.27, 4 Sb 2.97-3.11
Sb 0.0000 0.3344 0.7500  12 Zr 2.97-3.32
Sb 0.0000 0.6656 0.2500  12 Zr 2.97-3.32
Sb 0.5000 0.1656 0.2500  12 Zr 2.97-3.32
Sb 0.5000 0.8344 0.7500  12 Zr 2.97-3.32

Values from the calculation:
calculated total energy = -8.44 eV/atom
formation energy (no corrections) = -0.48 eV/atom
density of states at the Fermi level = 12.18 states/eV per cell
theoretical density = 7.7 g cm⁻³

=====

Record 8
Here is a relaxed ZrSb3 crystal from the Alexandria database. Energies are from PBEsol.

a b c (Å): 5.4939 5.4939 5.4939
angles (deg): 90.00 90.00 90.00
With the nearest neighbours (Å) after each atom.
Sites, in units of the cell vectors:
Zr 0.0000 0.0000 0.0000  6 Sb 2.75
Sb 0.0000 0.0000 0.5000  2 Zr 2.75
Sb 0.0000 0.5000 0.0000  2 Zr 2.75
Sb 0.5000 0.0000 0.0000  2 Zr 2.75

Values from the calculation:
calculated total energy = -5.37 eV/atom
formation energy (no corrections) = 0.32 eV/atom
density of states at the Fermi level = 2.80 states/eV per cell
excess energy over the best structure of this formula in the dataset = 0.5612 eV/atom
theoretical density = 4.6 g cm⁻³

=====

Record 9
Here is a relaxed Zr3Sb crystal from the Alexandria database. Energies are from PBEsol.

a b c (Å): 6.7479 9.1279 5.8103
angles (deg): 90.00 90.00 90.00
With the nearest neighbours (Å) after each atom.
Sites, in units of the cell vectors:
Zr 0.0168 0.2500 0.1257  3 Sb 2.88-3.12, 4 Zr 3.16-3.22
Zr 0.2088 0.0305 0.6207  3 Sb 2.87-2.98, 4 Zr 3.01-3.20
Zr 0.2088 0.4695 0.6207  3 Sb 2.87-2.98, 4 Zr 3.01-3.20
Zr 0.2912 0.5305 0.1207  3 Sb 2.87-2.98, 4 Zr 3.01-3.20
Zr 0.2912 0.9695 0.1207  3 Sb 2.87-2.98, 4 Zr 3.01-3.20
Zr 0.4832 0.7500 0.6257  3 Sb 2.88-3.12, 4 Zr 3.16-3.22
Zr 0.5168 0.2500 0.3743  3 Sb 2.88-3.12, 4 Zr 3.16-3.22
Zr 0.7088 0.0305 0.8793  3 Sb 2.87-2.98, 4 Zr 3.01-3.20
Zr 0.7088 0.4695 0.8793  3 Sb 2.87-2.98, 4 Zr 3.01-3.20
Zr 0.7912 0.5305 0.3793  3 Sb 2.87-2.98, 4 Zr 3.01-3.20
Zr 0.7912 0.9695 0.3793  3 Sb 2.87-2.98, 4 Zr 3.01-3.20
Zr 0.9832 0.7500 0.8743  3 Sb 2.88-3.12, 4 Zr 3.16-3.22
Sb 0.0956 0.7500 0.3954  9 Zr 2.87-3.12
Sb 0.4044 0.2500 0.8954  9 Zr 2.87-3.12
Sb 0.5956 0.7500 0.1046  9 Zr 2.87-3.12
Sb 0.9044 0.2500 0.6046  9 Zr 2.87-3.12

Values from the calculation:
calculated total energy = -8.44 eV/atom
formation energy (no corrections) = -0.48 eV/atom
density of states at the Fermi level = 17.24 states/eV per cell
theoretical density = 7.3 g cm⁻³

=====

Record 10
Here is a relaxed ZrSb3 crystal from the Alexandria database. Energies are from PBEsol.

a b c (Å): 4.5960 4.5960 4.5960
angles (deg): 90.00 90.00 90.00
With the nearest neighbours (Å) after each atom.
Sites, in units of the cell vectors:
Zr 0.0000 0.0000 0.0000  12 Sb 3.25
Sb 0.0000 0.5000 0.5000  4 Zr 3.25, 8 Sb 3.25
Sb 0.5000 0.0000 0.5000  4 Zr 3.25, 8 Sb 3.25
Sb 0.5000 0.5000 0.0000  4 Zr 3.25, 8 Sb 3.25

Values from the calculation:
calculated total energy = -5.69 eV/atom
formation energy (no corrections) = 0.00 eV/atom
density of states at the Fermi level = 3.35 states/eV per cell
excess energy over the best structure of this formula in the dataset = 0.2405 eV/atom
theoretical density = 7.8 g cm⁻³

=====

Record 11
Here is a relaxed Zr3Sb5 crystal from the Alexandria database. Energies are from PBEsol.

a b c (Å): 7.6551 9.2399 5.1867
angles (deg): 90.00 90.00 90.00
With the nearest neighbours (Å) after each atom.
Sites, in units of the cell vectors:
Zr 0.0000 0.0000 0.0000  8 Sb 3.00-3.03
Zr 0.0000 0.2743 0.5000  10 Sb 2.98-3.33
Zr 0.0000 0.7257 0.5000  10 Sb 2.98-3.33
Zr 0.5000 0.2257 0.5000  10 Sb 2.98-3.33
Zr 0.5000 0.5000 0.0000  8 Sb 3.00-3.03
Zr 0.5000 0.7743 0.5000  10 Sb 2.98-3.33
Sb 0.0000 0.5000 0.0000  4 Sb 3.00, 4 Zr 3.33
Sb 0.2056 0.0000 0.5000  6 Zr 2.98-3.07, 1 Sb 3.15
Sb 0.2500 0.2500 0.0000  6 Zr 3.00-3.23, 2 Sb 3.00
Sb 0.2500 0.7500 0.0000  6 Zr 3.00-3.23, 2 Sb 3.00
Sb 0.2944 0.5000 0.5000  6 Zr 2.98-3.07, 1 Sb 3.15
Sb 0.5000 0.0000 0.0000  4 Sb 3.00, 4 Zr 3.33
Sb 0.7056 0.5000 0.5000  6 Zr 2.98-3.07, 1 Sb 3.15
Sb 0.7500 0.2500 0.0000  6 Zr 3.00-3.23, 2 Sb 3.00
Sb 0.7500 0.7500 0.0000  2 Sb 3.00, 6 Zr 3.00-3.23
Sb 0.7944 0.0000 0.5000  6 Zr 2.98-3.07, 1 Sb 3.15

Values from the calculation:
calculated total energy = -6.63 eV/atom
formation energy (no corrections) = -0.38 eV/atom
density of states at the Fermi level = 12.76 states/eV per cell
theoretical density = 8.0 g cm⁻³

=====

Record 12
Here is a relaxed Zr3Sb crystal from the Alexandria database. Energies are from PBEsol.

a b c (Å): 6.2261 6.2261 10.1460
angles (deg): 90.00 90.00 120.00
With the nearest neighbours (Å) after each atom.
Sites, in units of the cell vectors:
Zr 0.0000 0.5000 0.0000  4 Sb 3.11, 8 Zr 3.11
Zr 0.0000 0.5000 0.5000  4 Sb 3.11, 8 Zr 3.11
Zr 0.1661 0.3323 0.2500  8 Zr 3.10-3.12, 4 Sb 3.11
Zr 0.1661 0.8339 0.2500  8 Zr 3.10-3.12, 4 Sb 3.11
Zr 0.3323 0.1661 0.7500  8 Zr 3.10-3.12, 4 Sb 3.11
Zr 0.5000 0.0000 0.0000  4 Sb 3.11, 8 Zr 3.11
Zr 0.5000 0.0000 0.5000  4 Sb 3.11, 8 Zr 3.11
Zr 0.5000 0.5000 0.0000  4 Sb 3.11, 8 Zr 3.11
Zr 0.5000 0.5000 0.5000  4 Sb 3.11, 8 Zr 3.11
Zr 0.6677 0.8339 0.2500  8 Zr 3.10-3.12, 4 Sb 3.11
Zr 0.8339 0.1661 0.7500  8 Zr 3.10-3.12, 4 Sb 3.11
Zr 0.8339 0.6677 0.7500  8 Zr 3.10-3.12, 4 Sb 3.11
Sb 0.0000 0.0000 0.0000  12 Zr 3.11
Sb 0.0000 0.0000 0.5000  12 Zr 3.11
Sb 0.3333 0.6667 0.7500  12 Zr 3.11
Sb 0.6667 0.3333 0.2500  12 Zr 3.11

Values from the calculation:
calculated total energy = -8.42 eV/atom
formation energy (no corrections) = -0.46 eV/atom
density of states at the Fermi level = 18.44 states/eV per cell
theoretical density = 7.7 g cm⁻³

=====

Record 13
Here is a relaxed Sc crystal from the Alexandria database. Energies are from PBEsol.

a b c (Å): 3.2364 3.2364 10.3225
angles (deg): 90.00 90.00 120.00
With the nearest neighbours (Å) after each atom.
Sites, in units of the cell vectors:
Sc 0.0000 0.0000 0.0000  12 Sc 3.19-3.24
Sc 0.0000 0.0000 0.5000  12 Sc 3.19-3.24
Sc 0.3333 0.6667 0.2500  12 Sc 3.19-3.24
Sc 0.6667 0.3333 0.7500  12 Sc 3.19-3.24

Values from the calculation:
DFT formation energy = 0.02 eV per atom
calculated total energy = -6.58 eV/atom
density of states at the Fermi level = 7.18 states/eV per cell
excess energy over the best structure of this formula in the dataset = 0.0218 eV/atom
theoretical density = 3.2 g cm⁻³